Entry 1:
# In2HW

An optimized crystal structure of In2HW (PBE-GGA, Alexandria).

The structure in POSCAR format:
```
In2HW
1.0
-3.413 3.413 2.766
3.413 -3.413 2.766
3.413 3.413 -2.766
In H W
4 2 2
Cartesian
1.706 1.165 -0.692
2.248 -1.706 3.458
1.706 2.248 2.075
1.165 5.119 0.692
0.000 0.000 0.000
0.000 3.413 1.383
3.413 0.000 1.383
0.000 0.000 2.766
```

* total energy: -18.37 eV per formula unit
* total moment: 0.000 μB/cell
* space group: I-42d

***

Entry 2:
# Li3Nd2Pt2

An optimized crystal structure of Li3Nd2Pt2 (PBE-GGA, Alexandria).

The structure in POSCAR format:
```
Li3Nd2Pt2
1.0
5.148 -2.110 0.000
5.148 2.110 0.000
-2.944 0.000 6.847
Li Nd Pt
3 2 2
Cartesian
0.000 0.000 0.000
0.287 0.000 2.971
7.066 0.000 3.877
3.087 0.000 1.487
4.266 0.000 5.361
1.177 0.000 5.537
6.176 0.000 1.311
```

* total energy: -31.85 eV per formula unit
* total moment: 0.000 μB/cell
* energy relative to the elements: -0.641 eV per atom
* energy above the lowest structure with this stoichiometry: 0.000 eV per atom
* space group: C2/m

***

Entry 3:
# CdTe2Se

An optimized crystal structure of CdTe2Se (PBE-GGA, Alexandria).

The structure in POSCAR format:
```
CdTe2Se
1.0
3.019 -4.394 0.000
3.019 4.394 0.000
0.000 0.000 4.224
Cd Te Se
1 2 1
Cartesian
0.000 0.000 0.000
3.019 2.258 2.112
3.019 -2.258 2.112
3.019 0.000 0.000
```

* uncorrected formation energy: -0.038 eV/atom
* total energy: -10.84 eV per formula unit
* total moment: 0.000 μB/cell
* space group: Cmmm

***

Entry 4:
# PmY3

An optimized crystal structure of PmY3 (PBE-GGA, Alexandria).

The structure in POSCAR format:
```
PmY3
1.0
3.667 0.000 0.000
0.000 5.712 0.000
0.000 0.000 6.347
Pm Y
1 3
Cartesian
0.000 0.000 0.000
0.000 2.856 2.121
1.833 0.000 3.185
1.833 2.856 5.295
```

* total energy: -24.10 eV per formula unit
* total moment: 0.001 μB/cell
* energy relative to the elements: 0.010 eV per atom
* energy above the lowest structure with this stoichiometry: 0.002 eV per atom
* space group: Pmm2

***

Entry 5:
# TiMnSi2

An optimized crystal structure of TiMnSi2 (PBE-GGA, Alexandria).

The structure in POSCAR format:
```
TiMnSi2
1.0
0.000 2.960 2.960
2.960 0.000 2.960
2.960 2.960 0.000
Ti Mn Si
1 1 2
Cartesian
0.000 0.000 0.000
2.960 2.960 2.960
1.480 1.480 1.480
4.440 4.440 4.440
```

* uncorrected formation energy: -0.205 eV/atom
* total energy: -28.73 eV per formula unit
* total moment: 0.701 μB/cell
* space group: Fm-3m

***

Entry 6:
# LiNd3Dy3Se8

An optimized crystal structure of LiNd3Dy3Se8 (PBE-GGA, Alexandria).

The structure in POSCAR format:
```
LiNd3Dy3Se8
1.0
4.112 2.374 6.777
-4.112 2.374 6.777
0.000 -4.749 6.777
Li Nd Dy Se
1 3 3 8
Cartesian
0.000 0.000 0.000
-4.112 0.000 10.166
-2.056 1.187 3.389
2.056 1.187 3.389
-2.056 -1.187 6.777
-2.056 1.187 13.554
0.000 2.374 6.777
0.000 -2.377 8.387
-2.058 1.188 8.387
0.000 0.000 5.163
-2.058 -1.188 11.945
2.058 1.188 8.387
0.000 0.000 15.168
2.058 -1.188 11.945
0.000 2.377 11.945
```

* uncorrected formation energy: -1.804 eV/atom
* total energy: -84.96 eV per formula unit
* total moment: 0.000 μB/cell
* space group: R-3m

***

Q: Number 4 is which compound?
A: PmY3

***

Q: total moment of number 2 (Li3Nd2Pt2)?
A: 0.000 μB/cell

***

Q: What is the formula in the first record?
A: In2HW